Record 1
# Y5ErZn4

A relaxed Y5ErZn4 crystal (GGA-PBE, Alexandria via LeMat-Bulk).

The value obtained for the formation energy is -0.2799 eV per atom. The calculated volume comes out at 247.74 Å³ per cell. As for the theoretical density: 5.854 g cm⁻³. The value obtained for the calculated total energy is -0.3291 Ry per atom. The spin magnetization comes out at 0.000 μB/atom.

The structure belongs to space group P4/mmm (No. 123); the cell edges are 3.576, 3.576 and 19.378 Å and the angles 90.00°, 90.00° and 90.00°. Symmetry generates all atoms from Y at (0.000, 0.000, 0.000), Y at (0.000, 0.000, 0.184), Y at (0.000, 0.000, 0.369), Er at (0.500, 0.500, 0.500), Zn at (0.500, 0.500, 0.093) and Zn at (0.500, 0.500, 0.277).


Record 2
# CsRb2CdO2

A relaxed CsRb2CdO2 crystal (GGA-PBE, Alexandria via LeMat-Bulk).

Its formation energy without anion corrections is -0.862 eV per atom. The calculated volume comes out at 377.27 Å³ per cell. As for the theoretical density: 3.946 g cm⁻³. The value obtained for the calculated total energy is -0.2302 Ry per atom. The spin magnetization comes out at 0.000 μB/atom.

The structure belongs to space group Pnnm (No. 58); the cell edges are 6.533, 12.687 and 4.552 Å and the angles 90.00°, 90.00° and 90.00°. Symmetry generates all atoms from Cs at (0.000, 0.000, 0.000), Rb at (0.071, 0.270, 0.500), Cd at (0.000, 0.500, 0.000) and O at (0.221, 0.381, 0.000).


Record 3
# Zn3Ag

A relaxed Zn3Ag crystal (GGA-PBE, Alexandria via LeMat-Bulk).

The value obtained for the formation energy is -0.0130 eV per atom. The calculated volume comes out at 63.01 Å³ per cell. As for the theoretical density: 8.014 g cm⁻³. The value obtained for the calculated total energy is -0.1236 Ry per atom. The spin magnetization comes out at 0.000 μB/atom.

The structure belongs to space group P-6m2 (No. 187); the cell edges are 2.9003, 2.9003 and 8.6496 Å and the angles 90.00°, 90.00° and 120.00°. Symmetry generates all atoms from Zn at (0.0000, 0.0000, 0.0000), Zn at (0.3333, 0.6667, 0.2453) and Ag at (0.0000, 0.0000, 0.5000).


Record 4
# La2NiPt

A relaxed La2NiPt crystal (GGA-PBE, Alexandria via LeMat-Bulk).

The value obtained for the formation energy is -0.7624 eV per atom. The calculated volume comes out at 97.84 Å³ per cell. As for the theoretical density: 9.022 g cm⁻³. The value obtained for the calculated total energy is -0.4543 Ry per atom. The spin magnetization comes out at 0.000 μB/atom.

The structure belongs to space group Pm (No. 6); the cell edges are 3.976, 4.467 and 5.850 Å and the angles 90.00°, 109.67° and 90.00°. Symmetry generates all atoms from La at (0.000, 0.000, 0.000), La at (0.271, 0.500, 0.542), Ni at (0.551, 0.500, 0.102) and Pt at (0.717, 0.000, 0.434).